# 1
An optimized crystal structure of AcTlO3, computed with GGA-PBE.

abc: 3.8705 14.5812 6.4291
angles: 90.00 90.00 90.00
Closest atoms and distances in Å follow each position.
Space group Cmcm (No. 63)
Asymmetric unit:
Ac 0.0000 0.1847 0.2500 [4 per cell]  7 O 2.54-2.67
Tl 0.0000 0.4367 0.2500 [4 per cell]  4 O 2.20
O 0.0000 0.0090 0.2500 [4 per cell]  2 Tl 2.20
O 0.0000 0.3318 0.0036 [8 per cell]  1 Tl 2.20

# 2
An optimized crystal structure of RbSiO, computed with GGA-PBE.

abc: 5.4467 13.7667 7.5738
angles: 90.00 90.00 90.00
Closest atoms and distances in Å follow each position.
Space group Cmce (No. 64)
Asymmetric unit:
Rb 0.0000 0.1503 0.0670 [8 per cell]  2 O 2.93
Si 0.0000 0.0570 0.6320 [8 per cell]  2 O 1.76
O 0.2500 0.0093 0.7500 [8 per cell]  2 Si 1.76

# 3
An optimized crystal structure of Li2O2F, computed with GGA-PBE.

Output
Fermi-level density of states, states/eV/atom: 0.36

abc: 5.8447 5.8447 2.8003
angles: 90.00 90.00 90.00
Closest atoms and distances in Å follow each position.
Space group P4/mbm (No. 127)
Asymmetric unit:
Li 0.2307 0.2693 0.0000 [4 per cell]  2 O 2.09
O 0.0822 0.5822 0.5000 [4 per cell]  1 O 1.36
F 0.0000 0.0000 0.5000 [2 per cell]  4 O 2.49, 8 Li 2.50

| no. | formation energy without anion corrections (kJ/mol of formula units) | volume (Å³/atom) |
| --- | --- | --- |
| 1 | -964 | 18.14 |
| 2 | -352 | 23.66 |
| 3 | -661 | 9.57 |